(1)
The following is a PBE-GGA calculation of a geometry-optimized KMnW2 structure, from Alexandria.

- ΔE to the lowest computed polymorph: 742 meV per atom
- DFT formation energy: 1.573 eV/atom

Cell lengths 5.746, 5.746, 5.746 Å; angles 150.61, 128.64, 60.28 degrees
Element x y z (fractional)
K (0.529, 0.529, 0.000)
Mn (0.783, 0.283, 0.500)
W (0.955, 0.955, 0.000)
W (0.233, 0.733, 0.500)


(2)
The following is a PBE-GGA calculation of a geometry-optimized Rb2UCrSe4 structure, from Alexandria.

- Formation energy without anion corrections: -990 meV/atom

Cell lengths 4.206, 6.941, 8.329 Å; angles 106.92, 90.00, 90.00 degrees
Each line ends with the local moment (μB).
Element x y z (fractional)
Rb (0.500, 0.000, 0.500)  0.00
Rb (0.000, 0.500, 0.500)  0.00
U (0.500, 0.500, 0.000)  2.34
Cr (0.000, 0.000, 0.000)  3.52
Se (0.500, 0.218, 0.183)  -0.09
Se (0.500, 0.782, 0.817)  -0.09
Se (0.000, 0.253, 0.808)  -0.07
Se (0.000, 0.747, 0.192)  -0.07


DFT total energy / eV per atom: -7.47; -5.59
M_tot / μB per formula unit: 0.00; 6.00